1.
Crystalline MgCd2InAg at its relaxed geometry. Source: the Alexandria database, functional PBE-GGA.

Cell lengths 5.6784, 5.6784, 9.2003 Å; angles 90.00, 90.00, 130.89 degrees
Positions (direct):
Mg 0.0640 0.9360 0.7500
Mg 0.9360 0.0640 0.2500
Cd 0.2025 0.7975 0.0784
Cd 0.2025 0.7975 0.4216
Cd 0.7975 0.2025 0.5784
Cd 0.7975 0.2025 0.9216
In 0.5000 0.5000 0.0000
In 0.5000 0.5000 0.5000
Ag 0.3429 0.6571 0.7500
Ag 0.6571 0.3429 0.2500

## Properties
Total energy: -1.8175 eV/atom
ρ: 7.0 g cm⁻³
Symmetry: Cmcm
Energy relative to the elements: -15 meV per atom
Total moment: 0.00 μB per formula unit

=====

2.
Crystalline InCu3Au4 at its relaxed geometry. Source: the Alexandria database, functional PBE-GGA.

Cell lengths 9.3250, 5.9018, 4.7551 Å; angles 90.00, 90.00, 90.00 degrees
Positions (direct):
In 0.0000 0.0000 0.0000
In 0.5000 0.0000 0.0000
Cu 0.0000 0.5000 0.0000
Cu 0.2500 0.0000 0.3952
Cu 0.2500 0.5000 0.3819
Cu 0.5000 0.5000 0.0000
Cu 0.7500 0.0000 0.6048
Cu 0.7500 0.5000 0.6181
Au 0.0000 0.2602 0.5000
Au 0.0000 0.7398 0.5000
Au 0.2500 0.2598 0.8906
Au 0.2500 0.7402 0.8906
Au 0.5000 0.2602 0.5000
Au 0.5000 0.7398 0.5000
Au 0.7500 0.2598 0.1094
Au 0.7500 0.7402 0.1094

## Properties
Total energy: -3.5756 eV/atom
ρ: 13.9 g cm⁻³
Symmetry: Pmma
Energy relative to the elements: -59 meV per atom
Total moment: 0.00 μB per formula unit

=====

3.
Crystalline PaTlIn at its relaxed geometry. Source: the Alexandria database, functional PBE-GGA.

Cell lengths 5.2960, 5.2960, 3.1750 Å; angles 90.00, 90.00, 120.00 degrees
Positions (direct):
Pa 0.0000 0.0000 0.0000
Tl 0.3333 0.6667 0.5000
In 0.6667 0.3333 0.5000

## Properties
Total energy: -4.7094 eV/atom
ρ: 11.8 g cm⁻³
Symmetry: P-6m2
Energy relative to the elements: 157 meV per atom
Total moment: 1.32 μB per formula unit

=====

4.
Crystalline PbWCl4 at its relaxed geometry. Source: the Alexandria database, functional PBE-GGA.

Cell lengths 5.9358, 5.9358, 5.9358 Å; angles 60.00, 60.00, 60.00 degrees
Positions (direct):
Pb 0.0000 0.0000 0.0000
W 0.7500 0.7500 0.7500
Cl 0.3757 0.3757 0.3757
Cl 0.3757 0.3757 0.8729
Cl 0.3757 0.8729 0.3757
Cl 0.8729 0.3757 0.3757

## Properties
Total energy: -2.9715 eV/atom
ρ: 6.0 g cm⁻³
Symmetry: F-43m
ΔE_f (raw): 1.037 eV per atom
Total moment: 3.94 μB per formula unit

=====

5.
Crystalline Ce6Te5P at its relaxed geometry. Source: the Alexandria database, functional PBE-GGA.

Cell lengths 7.6740, 7.6740, 7.6446 Å; angles 99.63, 99.63, 119.83 degrees
Positions (direct):
Ce 0.0757 0.3846 0.7308
Ce 0.2263 0.2263 0.2586
Ce 0.3846 0.0757 0.7308
Ce 0.6154 0.9243 0.2692
Ce 0.7737 0.7737 0.7414
Ce 0.9243 0.6154 0.2692
Te 0.1771 0.8229 0.0000
Te 0.3359 0.6641 0.5000
Te 0.5000 0.5000 0.0000
Te 0.6641 0.3359 0.5000
Te 0.8229 0.1771 0.0000
P 0.0000 0.0000 0.5000

## Properties
Total energy: -6.1197 eV/atom
ρ: 6.8 g cm⁻³
Symmetry: C2/m
ΔE_f (raw): -1.393 eV per atom
Total moment: 6.48 μB per formula unit

=====

6.
Crystalline AlCuSb at its relaxed geometry. Source: the Alexandria database, functional PBE-GGA.

Cell lengths 4.3348, 4.5434, 6.6031 Å; angles 77.19, 81.72, 82.82 degrees
Positions (direct):
Al 0.0000 0.0000 0.0000
Al 0.0081 0.4528 0.6532
Cu 0.5030 0.2385 0.8456
Cu 0.5658 0.6752 0.0295
Sb 0.0692 0.4141 0.2335
Sb 0.4693 0.8367 0.6051

## Properties
Total energy: -3.9668 eV/atom
ρ: 5.6 g cm⁻³
Symmetry: P1
ΔE_f (raw): 0.020 eV per atom
Total moment: 0.00 μB per formula unit

=====

7.
Crystalline Na2PrMnN4 at its relaxed geometry. Source: the Alexandria database, functional PBE-GGA.

Cell lengths 5.2972, 5.2972, 5.2972 Å; angles 110.20, 110.20, 108.03 degrees
Positions (direct):
Na 0.2500 0.7500 0.5000
Na 0.7500 0.2500 0.5000
Pr 0.0000 0.0000 0.0000
Mn 0.5000 0.5000 0.0000
N 0.1758 0.1758 0.6799
N 0.4959 0.4959 0.3201
N 0.5041 0.8242 0.0000
N 0.8242 0.5041 0.0000

## Properties
Total energy: -6.5726 eV/atom
ρ: 4.3 g cm⁻³
Symmetry: I-42m
ΔE_f (raw): -0.337 eV per atom
Total moment: 0.00 μB per formula unit

=====

8.
Crystalline Tb2DyPuAs4 at its relaxed geometry. Source: the Alexandria database, functional PBE-GGA.

Cell lengths 7.1468, 4.1391, 7.1482 Å; angles 90.00, 109.46, 90.00 degrees
Positions (direct):
Tb 0.0000 0.0000 0.0000
Tb 0.5000 0.5000 0.0000
Dy 0.0000 0.5000 0.5000
Pu 0.5000 0.0000 0.5000
As 0.2502 0.0000 0.7481
As 0.2516 0.5000 0.2525
As 0.7484 0.5000 0.7475
As 0.7498 0.0000 0.2519

## Properties
Total energy: -7.2498 eV/atom
ρ: 8.5 g cm⁻³
Symmetry: P2/m
Energy relative to the elements: -1401 meV per atom
Total moment: 4.93 μB per formula unit